[1]
# Re2SbN PBE relaxed
# Raw formation energy ... 1448 meV per atom
# Offset from the most stable computed form ... 0.8054 eV per atom
# E ... -126.21 eV per cell
# Total moment ... 0.00 μB per atom
data_Re2SbN
_chemical_formula_sum 'Re8 Sb4 N4'
_space_group_name_H-M_alt 'F m -3 m'
_space_group_IT_number 225
_space_group_name_Hall '-F 4 2 3'
_cell_length_a 6.162
_cell_length_b 6.162
_cell_length_c 6.162
_cell_angle_alpha 90.00
_cell_angle_beta 90.00
_cell_angle_gamma 90.00
loop_
_atom_site_label
_atom_site_type_symbol
_atom_site_fract_x
_atom_site_fract_y
_atom_site_fract_z
Re1 Re 0.250 0.250 0.250
Sb1 Sb 0.000 0.000 0.000
N1 N 0.000 0.000 0.500

[2]
# Sn4IrPt PBE relaxed
# Offset from the most stable computed form ... 0.0000 eV per atom
# E ... -130.52 eV per cell
# Total moment ... 0.00 μB per atom
# E_form ... -0.29 eV/atom
data_Sn4IrPt
_chemical_formula_sum 'Sn16 Ir4 Pt4'
_space_group_name_H-M_alt 'C 1 2/c 1'
_space_group_IT_number 15
_cell_length_a 8.712
_cell_length_b 14.672
_cell_length_c 5.917
_cell_angle_alpha 90.00
_cell_angle_beta 132.29
_cell_angle_gamma 90.00
loop_
_space_group_symop_operation_xyz
'x,y,z'
'-x,-y,-z'
'-x,y,-z+1/2'
'x,-y,z+1/2'
'x+1/2,y+1/2,z'
'-x+1/2,-y+1/2,-z'
'-x+1/2,y+1/2,-z+1/2'
'x+1/2,-y+1/2,z+1/2'
loop_
_atom_site_label
_atom_site_type_symbol
_atom_site_fract_x
_atom_site_fract_y
_atom_site_fract_z
Sn1 Sn 0.182 0.189 0.233
Sn2 Sn 0.193 0.446 0.145
Ir1 Ir 0.000 0.045 0.250
Pt1 Pt 0.000 0.303 0.750

[3]
# DyHf2ScN4 PBE relaxed
# Raw formation energy ... -1828 meV per atom
# E ... -315.05 eV per cell
# Total moment ... 0.00 μB per atom
data_DyHf2ScN4
_chemical_formula_sum 'Dy4 Hf8 Sc4 N16'
_space_group_name_H-M_alt 'I m m a'
_space_group_IT_number 74
_space_group_name_Hall '-I 2b 2'
_cell_length_a 6.520
_cell_length_b 6.552
_cell_length_c 9.241
_cell_angle_alpha 90.00
_cell_angle_beta 90.00
_cell_angle_gamma 90.00
loop_
_atom_site_label
_atom_site_type_symbol
_atom_site_fract_x
_atom_site_fract_y
_atom_site_fract_z
Dy1 Dy 0.250 0.250 0.250
Hf1 Hf 0.000 0.000 0.000
Hf2 Hf 0.250 0.250 0.750
Sc1 Sc 0.000 0.000 0.500
N1 N 0.000 0.016 0.753
N2 N 0.245 0.250 0.992

Question: What is the formula in the third record?
Answer: DyHf2ScN4

Question: Which formula does entry 1 have?
Answer: Re2SbN